(1)
Entry from the Alexandria database: Na3HfSn after structural relaxation (PBE).

abc: 5.880 5.880 5.880
angles: 90.00 90.00 90.00
Sites, in units of the cell vectors:
Na  0.000  0.000  0.500
Na  0.000  0.500  0.000
Na  0.500  0.000  0.000
Hf  0.000  0.000  0.000
Sn  0.500  0.500  0.500

Properties
Magnetization in μB per formula unit: 2.5
Uncorrected energy in eV per atom: -2.21
SG: Pm-3m (221)
ΔE to the lowest computed polymorph in meV per atom: 356



(2)
Entry from the Alexandria database: NaHfSn2 after structural relaxation (PBE).

abc: 3.718 3.718 7.321
angles: 90.00 90.00 90.00
Sites, in units of the cell vectors:
Na  0.000  0.000  0.000
Hf  0.000  0.000  0.500
Sn  0.500  0.500  0.285
Sn  0.500  0.500  0.715

Properties
Magnetization in μB per formula unit: 0.0
Uncorrected energy in eV per atom: -4.93
SG: P4/mmm (123)



| no. | formation energy from the elements (meV per atom) |
| --- | --- |
| 1 | 1371 |
| 2 | -112 |